(1)
Ce4CdAu: optimized geometry, PBE-GGA.

```
6
Lattice="-2.562 2.964 4.601 2.562 -2.964 4.601 2.562 2.964 -4.601" Properties=species:S:1:pos:R:3 pbc="T T T"
Ce 2.562 -1.525 3.012
Ce 0.000 1.439 1.589
Ce 2.562 1.525 3.012
Ce 0.000 4.490 1.589
Cd 0.000 0.000 4.601
Au 2.562 0.000 0.000
```

Properties
**Calculated formation energy**: -0.209 eV per atom
**Total energy**: -4.864 eV/atom

=====

(2)
Er2Ag3Hg3: optimized geometry, PBE-GGA.

```
8
Lattice="2.483 1.434 8.075 -2.483 1.434 8.075 0.000 -2.867 8.075" Properties=species:S:1:pos:R:3 pbc="T T T"
Er 0.000 0.000 0.000
Er 0.000 0.000 12.093
Ag 0.000 0.000 6.085
Ag 0.000 0.000 9.072
Ag 0.000 0.000 18.136
Hg 0.000 0.000 2.998
Hg 0.000 0.000 15.170
Hg 0.000 0.000 21.179
```

Properties
**Calculated formation energy**: -0.288 eV per atom
**Total energy**: -2.611 eV/atom